The following is a DFT calculation (meta-GGA SCAN) of Al2ZnSn2 at its PBEsol-relaxed geometry.

Calculated values
- Volume: 24.451 Å³/atom
- Magnetization: 0.000 μB per atom
- DFT total energy: -19.810 eV/atom

Unit cell a=4.664 b=4.664 c=6.517 alpha=110.96 beta=110.96 gamma=90.00
Fractional coordinates of all 5 atoms:
Al 0.250 0.750 0.500
Sn 0.379 0.379 0.758
Zn 0.000 0.000 0.000
Al 0.750 0.250 0.500
Sn 0.621 0.621 0.242